1.
# In5Sn3Bi3 (PBE-GGA, optimized geometry)
data_In5Sn3Bi3
_chemical_formula_sum 'In5 Sn3 Bi3'
_space_group_name_H-M_alt 'P -6 2 m'
_space_group_IT_number 189
_space_group_name_Hall 'P -6 -2'
_cell_length_a 9.7590
_cell_length_b 9.7590
_cell_length_c 4.5455
_cell_angle_alpha 90.00
_cell_angle_beta 90.00
_cell_angle_gamma 120.00
loop_
_atom_site_label
_atom_site_fract_x
_atom_site_fract_y
_atom_site_fract_z
In1 0.0000 0.6334 0.0000
In2 0.3333 0.6667 0.0000
Sn1 0.0000 0.1937 0.0000
Bi1 0.0000 0.4025 0.5000
# energy relative to the elements	0.161	eV per atom
# final energy	-3.234	eV per atom
# total moment	0.00	μB per cell

***

2.
# La12Al3Cd (PBE-GGA, optimized geometry)
data_La12Al3Cd
_chemical_formula_sum 'La12 Al3 Cd1'
_space_group_name_H-M_alt 'P 4/m m m'
_space_group_IT_number 123
_space_group_name_Hall '-P 4 2'
_cell_length_a 5.006
_cell_length_b 5.006
_cell_length_c 19.941
_cell_angle_alpha 90.00
_cell_angle_beta 90.00
_cell_angle_gamma 90.00
loop_
_atom_site_label
_atom_site_fract_x
_atom_site_fract_y
_atom_site_fract_z
La1 0.000 0.000 0.000
La2 0.000 0.000 0.248
La3 0.000 0.000 0.500
La4 0.000 0.500 0.124
La5 0.000 0.500 0.370
Al1 0.500 0.500 0.000
Al2 0.500 0.500 0.249
Cd1 0.500 0.500 0.500
# energy relative to the elements	-0.176	eV per atom
# final energy	-4.630	eV per atom
# total moment	0.00	μB per cell

***

3.
# Pr8GeSe3S4 (PBE-GGA, optimized geometry)
data_Pr8GeSe3S4
_chemical_formula_sum 'Pr24 Ge3 Se9 S12'
_space_group_name_H-M_alt 'R -3 m'
_space_group_IT_number 166
_space_group_name_Hall '-R 3 2"'
_cell_length_a 8.4016
_cell_length_b 8.4016
_cell_length_c 20.5898
_cell_angle_alpha 90.00
_cell_angle_beta 90.00
_cell_angle_gamma 120.00
loop_
_atom_site_label
_atom_site_fract_x
_atom_site_fract_y
_atom_site_fract_z
Pr1 0.0000 0.0000 0.2429
Pr2 0.0081 0.5040 0.7538
Ge1 0.0000 0.0000 0.0000
Se1 0.0000 0.5000 0.0000
S1 0.0000 0.0000 0.5000
S2 0.0000 0.5000 0.5000
# formation energy from raw total energies	-1835.4	meV/atom
# final energy	-6.199	eV per atom
# total moment	0.00	μB per cell

***

4.
# BaB2SbPt (PBE-GGA, optimized geometry)
data_BaB2SbPt
_chemical_formula_sum 'Ba1 B2 Sb1 Pt1'
_space_group_name_H-M_alt 'P 4/m m m'
_space_group_IT_number 123
_space_group_name_Hall '-P 4 2'
_cell_length_a 4.709
_cell_length_b 4.709
_cell_length_c 6.223
_cell_angle_alpha 90.00
_cell_angle_beta 90.00
_cell_angle_gamma 90.00
loop_
_atom_site_label
_atom_site_fract_x
_atom_site_fract_y
_atom_site_fract_z
Ba1 0.000 0.000 0.000
B1 0.000 0.500 0.000
Sb1 0.000 0.000 0.500
Pt1 0.500 0.500 0.500
# formation energy from raw total energies	2528.6	meV/atom
# final energy	-2.560	eV per atom
# total moment	0.00	μB per cell

***

5.
# Cs2KYI6 (PBE-GGA, optimized geometry)
data_Cs2KYI6
_chemical_formula_sum 'Cs4 K2 Y2 I12'
_space_group_name_H-M_alt 'P m m n'
_space_group_IT_number 59
_cell_length_a 8.767
_cell_length_b 12.862
_cell_length_c 9.604
_cell_angle_alpha 90.00
_cell_angle_beta 90.00
_cell_angle_gamma 90.00
loop_
_space_group_symop_operation_xyz
'x,y,z'
'-x,-y,-z'
'-x+1/2,-y+1/2,z'
'x+1/2,y+1/2,-z'
'x+1/2,-y,-z'
'-x+1/2,y,z'
'-x,y+1/2,-z'
'x,-y+1/2,z'
loop_
_atom_site_label
_atom_site_fract_x
_atom_site_fract_y
_atom_site_fract_z
Cs1 0.250 0.034 0.197
K1 0.250 0.250 0.711
Y1 0.250 0.750 0.783
I1 0.002 0.250 0.431
I2 0.011 0.750 0.014
I3 0.250 0.514 0.785
# formation energy from raw total energies	-1488.2	meV/atom
# E above lowest polymorph	0.000	eV per atom
# final energy	-3.345	eV per atom
# total moment	0.00	μB per cell

***

6.
# TcW2Se2 (PBE-GGA, optimized geometry)
data_TcW2Se2
_chemical_formula_sum 'Tc2 W4 Se4'
_space_group_name_H-M_alt 'I 4/m m m'
_space_group_IT_number 139
_space_group_name_Hall '-I 4 2'
_cell_length_a 3.784
_cell_length_b 3.784
_cell_length_c 12.503
_cell_angle_alpha 90.00
_cell_angle_beta 90.00
_cell_angle_gamma 90.00
loop_
_atom_site_label
_atom_site_fract_x
_atom_site_fract_y
_atom_site_fract_z
Tc1 0.000 0.000 0.000
W1 0.000 0.000 0.400
Se1 0.000 0.500 0.250
# formation energy from raw total energies	883.6	meV/atom
# E above lowest polymorph	0.085	eV per atom
# final energy	-7.765	eV per atom
# total moment	2.95	μB per cell

***

7.
# BaAlV3 (PBE-GGA, optimized geometry)
data_BaAlV3
_chemical_formula_sum 'Ba1 Al1 V3'
_space_group_name_H-M_alt 'P m -3 m'
_space_group_IT_number 221
_space_group_name_Hall '-P 4 2 3'
_cell_length_a 4.776
_cell_length_b 4.776
_cell_length_c 4.776
_cell_angle_alpha 90.00
_cell_angle_beta 90.00
_cell_angle_gamma 90.00
loop_
_atom_site_label
_atom_site_fract_x
_atom_site_fract_y
_atom_site_fract_z
Ba1 0.000 0.000 0.000
Al1 0.500 0.500 0.500
V1 0.000 0.000 0.500
# energy relative to the elements	2.354	eV per atom
# E above lowest polymorph	1.267	eV per atom
# final energy	-4.251	eV per atom
# total moment	0.02	μB per cell

***

8.
# La3Tb7Sc (PBE-GGA, optimized geometry)
data_La3Tb7Sc
_chemical_formula_sum 'La6 Tb14 Sc2'
_space_group_name_H-M_alt 'C 1 2/m 1'
_space_group_IT_number 12
_space_group_name_Hall '-C 2y'
_cell_length_a 11.611
_cell_length_b 10.202
_cell_length_c 6.365
_cell_angle_alpha 90.00
_cell_angle_beta 93.09
_cell_angle_gamma 90.00
loop_
_atom_site_label
_atom_site_fract_x
_atom_site_fract_y
_atom_site_fract_z
La1 0.000 0.000 0.000
La2 0.000 0.178 0.500
Tb1 0.000 0.500 0.500
Tb2 0.233 0.333 0.767
Tb3 0.244 0.000 0.714
Sc1 0.000 0.500 0.000
# energy relative to the elements	0.246	eV per atom
# E above lowest polymorph	0.072	eV per atom
# final energy	-4.620	eV per atom
# total moment	0.00	μB per cell